--- 1 ---
! LiSbPt4 (PBE, relaxed); values from VASP
&SYSTEM
  ibrav = 0, nat = 6, ntyp = 3
/
ATOMIC_SPECIES
Pt 195.08 Pt.upf
Li 6.94 Li.upf
Sb 121.76 Sb.upf
ATOMIC_POSITIONS angstrom
Pt -5.987 3.937 1.146
Pt -4.286 1.893 1.451
Li 0.000 0.000 0.000
Pt -6.925 1.470 1.595
Sb -8.577 3.789 2.903
Pt -5.674 2.804 3.550
CELL_PARAMETERS angstrom
-5.268 -0.844 0.289
-2.771 1.817 4.191
-3.397 4.079 -0.609
! Space group = F-43m, No. 216
! Fermi-level density of states = 6.16 states/eV/cell

***

--- 2 ---
! LiSbPt4 (PBE, relaxed); values from VASP
&SYSTEM
  ibrav = 0, nat = 12, ntyp = 3
/
ATOMIC_SPECIES
Pt 195.08 Pt.upf
Sb 121.76 Sb.upf
Li 6.94 Li.upf
ATOMIC_POSITIONS angstrom
Pt 2.569 6.297 2.477
Pt 4.532 3.272 0.463
Pt 0.303 8.033 2.247
Pt 2.568 3.257 2.479
Sb 0.000 0.000 0.000
Sb 2.266 4.777 0.231
Pt 0.605 6.282 4.493
Pt 2.266 1.505 0.232
Li 2.569 0.000 2.478
Pt 2.871 8.049 4.724
Li 0.302 4.777 2.247
Pt 4.834 1.520 2.709
CELL_PARAMETERS angstrom
4.532 0.000 0.461
0.000 9.554 0.000
0.605 0.000 4.494
! Space group = C2/m, No. 12
! Fermi-level density of states = 6.52 states/eV/cell

***

Here are the energies relative to the best structure, in kJ/mol of atoms: 1 10.2; 2 0.0.

***

--- 1 ---
! LiSbPt3 (PBE, relaxed); values from VASP
&SYSTEM
  ibrav = 0, nat = 20, ntyp = 3
/
ATOMIC_SPECIES
Pt 195.08 Pt.upf
Li 6.94 Li.upf
Sb 121.76 Sb.upf
ATOMIC_POSITIONS angstrom
Pt 2.249 3.737 5.545
Li 4.391 8.150 -0.679
Sb 1.330 1.586 7.390
Pt 3.006 1.326 1.486
Pt 1.312 5.817 3.951
Li 3.491 1.630 4.078
Pt 3.939 1.776 6.595
Pt 0.378 1.205 2.029
Pt 0.836 1.446 4.778
Pt 1.315 3.286 0.436
Li 0.864 -3.088 7.709
Pt 1.791 7.966 0.022
Pt 4.876 3.857 5.001
Pt 3.464 -2.904 7.009
Sb 1.297 -0.945 3.875
Pt 4.418 3.617 2.252
Sb 3.958 6.007 3.156
Li 1.763 3.433 2.953
Pt 3.943 -0.755 3.080
Sb 3.924 3.476 -0.359
CELL_PARAMETERS angstrom
5.255 0.000 0.000
0.000 9.052 -1.241
0.000 -3.989 8.272
! Space group = P2_1/c, No. 14
! Fermi-level density of states = 7.22 states/eV/cell

***

--- 2 ---
! LiSbPt3 (PBE, relaxed); values from VASP
&SYSTEM
  ibrav = 0, nat = 5, ntyp = 3
/
ATOMIC_SPECIES
Pt 195.08 Pt.upf
Li 6.94 Li.upf
Sb 121.76 Sb.upf
ATOMIC_POSITIONS angstrom
Pt 0.384 -2.086 0.536
Li 0.000 0.000 0.000
Sb -2.632 -2.714 0.255
Pt -1.297 -0.659 -1.634
Pt -1.719 0.031 1.353
CELL_PARAMETERS angstrom
-3.439 0.061 2.705
-2.594 -1.318 -3.268
0.769 -4.172 1.072
! Space group = Pm-3m, No. 221
! Fermi-level density of states = 5.05 states/eV/cell

***

Here are the energies relative to the best structure, in kJ/mol of atoms: 1 0.0; 2 61.9.

***

--- 1 ---
! LiPtSe (PBE, relaxed); values from VASP
&SYSTEM
  ibrav = 0, nat = 3, ntyp = 3
/
ATOMIC_SPECIES
Pt 195.08 Pt.upf
Li 6.94 Li.upf
Se 78.96 Se.upf
ATOMIC_POSITIONS angstrom
Pt 1.058 5.900 4.919
Li 0.705 3.933 3.280
Se 0.000 0.000 0.000
CELL_PARAMETERS angstrom
-1.546 3.694 1.335
0.329 1.079 4.067
2.628 3.094 1.157
! Space group = F-43m, No. 216
! Fermi-level density of states = 1.19 states/eV/cell

***

--- 2 ---
! LiPtSe (PBE, relaxed); values from VASP
&SYSTEM
  ibrav = 0, nat = 3, ntyp = 3
/
ATOMIC_SPECIES
Li 6.94 Li.upf
Se 78.96 Se.upf
Pt 195.08 Pt.upf
ATOMIC_POSITIONS angstrom
Li 0.000 0.000 0.038
Se 0.000 1.608 5.648
Pt 1.392 0.804 2.088
CELL_PARAMETERS angstrom
2.785 0.000 0.000
-1.392 2.412 0.000
0.000 0.000 7.775
! Space group = P3m1, No. 156
! Fermi-level density of states = 1.92 states/eV/cell

***

Here are the energies relative to the best structure, in kJ/mol of atoms: 1 0.0; 2 27.2.